No. 1
# PBE Rb2Tl2PdCl4, relaxed
data_Rb2Tl2PdCl4
_chemical_formula_sum 'Rb4 Tl4 Pd2 Cl8'
_symmetry_space_group_name_H-M 'I 4/m m m'
_symmetry_Int_Tables_number 139
_symmetry_space_group_name_Hall '-I 4 2'
_cell_length_a 7.885
_cell_length_b 7.885
_cell_length_c 8.574
_cell_angle_alpha 90.00
_cell_angle_beta 90.00
_cell_angle_gamma 90.00
loop_
_atom_site_label
_atom_site_fract_x
_atom_site_fract_y
_atom_site_fract_z
Rb1 0.000 0.500 0.250
Tl1 0.000 0.000 0.183
Pd1 0.000 0.000 0.500
Cl1 0.246 0.246 0.500
# **Energy relative to the elements, uncorrected**: -1.10 eV/atom

***

No. 2
# PBE RuPb2Br, relaxed
data_RuPb2Br
_chemical_formula_sum 'Ru2 Pb4 Br2'
_symmetry_space_group_name_H-M 'I 4/m m m'
_symmetry_Int_Tables_number 139
_symmetry_space_group_name_Hall '-I 4 2'
_cell_length_a 4.738
_cell_length_b 4.738
_cell_length_c 8.750
_cell_angle_alpha 90.00
_cell_angle_beta 90.00
_cell_angle_gamma 90.00
loop_
_atom_site_label
_atom_site_fract_x
_atom_site_fract_y
_atom_site_fract_z
Ru1 0.000 0.000 0.000
Pb1 0.000 0.500 0.250
Br1 0.000 0.000 0.500
# **D(E_F)**: 7.57 states/eV per cell
# **Distance to the lowest polymorph of the same formula**: 442 meV per atom
# **Energy relative to the elements, uncorrected**: 0.57 eV/atom

***

No. 3
# PBE ScTl4Au, relaxed
data_ScTl4Au
_chemical_formula_sum 'Sc4 Tl16 Au4'
_symmetry_space_group_name_H-M 'F -4 3 m'
_symmetry_Int_Tables_number 216
_symmetry_space_group_name_Hall 'F -4 2 3'
_cell_length_a 8.759
_cell_length_b 8.759
_cell_length_c 8.759
_cell_angle_alpha 90.00
_cell_angle_beta 90.00
_cell_angle_gamma 90.00
loop_
_atom_site_label
_atom_site_fract_x
_atom_site_fract_y
_atom_site_fract_z
Sc1 0.000 0.000 0.000
Tl1 0.125 0.125 0.625
Au1 0.250 0.250 0.250
# **D(E_F)**: 24.93 states/eV per cell
# **DFT total energy**: -68.52 eV/cell